# 1
TbCe2Te2Se2 after structural relaxation. Source: Alexandria via LeMat-Bulk, functional PBE.

POSCAR file:
```
TbCe2Te2Se2
1.0
-2.6734 2.6734 8.0312
2.6734 -2.6734 8.0312
2.6734 2.6734 -8.0312
Tb Ce Te Se
1 2 2 2
Direct
0.0000 0.0000 0.0000
0.3821 0.3821 0.0000
0.6179 0.6179 0.0000
0.1870 0.1870 0.0000
0.8130 0.8130 0.0000
0.0000 0.5000 0.5000
0.5000 0.0000 0.5000
```

Properties
space-group type: I4/mmm
raw formation energy: -9.4 eV per formula unit
raw total energy: -5.596 eV/atom
volume: 32.80 Å³/atom
magnetization: 2.76 μB/f.u.

---

# 2
TbCeTeSe2 after structural relaxation. Source: Alexandria via LeMat-Bulk, functional PBE.

POSCAR file:
```
TbCeTeSe2
1.0
-2.3192 2.3192 7.0687
2.3192 -2.3192 7.0687
2.3192 2.3192 -7.0687
Tb Ce Te Se
1 1 1 2
Direct
0.0000 0.0000 0.0000
0.2685 0.2685 0.0000
0.6397 0.6397 0.0000
0.3900 0.8900 0.5000
0.8900 0.3900 0.5000
```

Properties
space-group type: I4mm
raw formation energy: -6.8 eV per formula unit
raw total energy: -5.490 eV/atom
volume: 30.42 Å³/atom
magnetization: 1.00 μB/f.u.

---

# 3
Tb2CeTh3Se6 after structural relaxation. Source: Alexandria via LeMat-Bulk, functional PBE.

POSCAR file:
```
Tb2CeTh3Se6
1.0
3.5625 -6.1447 0.0000
3.5625 6.1447 0.0000
-2.3568 0.0000 7.0020
Tb Ce Th Se
2 1 3 6
Direct
0.1665 0.8335 0.0000
0.8335 0.1665 0.0000
0.5000 0.5000 0.0000
0.0000 0.0000 0.5000
0.3357 0.6643 0.5000
0.6643 0.3357 0.5000
0.0811 0.4202 0.7598
0.2403 0.2403 0.2374
0.4202 0.0811 0.7598
0.5798 0.9189 0.2402
0.7597 0.7597 0.7626
0.9189 0.5798 0.2402
```

Properties
space-group type: C2/m
raw formation energy: -19.9 eV per formula unit
raw total energy: -6.524 eV/atom
volume: 25.55 Å³/atom
magnetization: 0.74 μB/f.u.